# Ce2Al3Tc | the Alexandria database | PBE | optimized geometry
data_Ce2Al3Tc
_symmetry_space_group_name_H-M 'P 63/m m c'
_symmetry_Int_Tables_number 194
_symmetry_space_group_name_Hall '-P 6c 2c'
_cell_length_a 5.4863
_cell_length_b 5.4863
_cell_length_c 9.1291
_cell_angle_alpha 90.00
_cell_angle_beta 90.00
_cell_angle_gamma 120.00
loop_
_atom_site_label
_atom_site_type_symbol
_atom_site_fract_x
_atom_site_fract_y
_atom_site_fract_z
_atom_site_occupancy
Ce1 Ce 0.3333 0.6667 0.0487 1
Al1 Al 0.1629 0.3257 0.7500 1
Tc1 Tc 0.0000 0.0000 0.0000 1
# **Polymorph energy (0 for the lowest one)**: 0.000 eV/atom
# **Spin magnetization**: 0.87 μB/f.u.
# **ΔE_f**: -0.454 eV/atom

# Ce7AlTc2 | the Alexandria database | PBE | optimized geometry
data_Ce7AlTc2
_symmetry_space_group_name_H-M 'C m m m'
_symmetry_Int_Tables_number 65
_symmetry_space_group_name_Hall '-C 2 2'
_cell_length_a 8.862
_cell_length_b 13.153
_cell_length_c 5.022
_cell_angle_alpha 90.00
_cell_angle_beta 90.00
_cell_angle_gamma 90.00
loop_
_atom_site_label
_atom_site_type_symbol
_atom_site_fract_x
_atom_site_fract_y
_atom_site_fract_z
_atom_site_occupancy
Ce1 Ce 0.000 0.000 0.000 1
Ce2 Ce 0.000 0.225 0.500 1
Ce3 Ce 0.167 0.390 0.000 1
Al1 Al 0.000 0.500 0.500 1
Tc1 Tc 0.000 0.186 0.000 1
# **Spin magnetization**: 3.88 μB/f.u.
# **ΔE_f**: 0.095 eV/atom

Here are the calculated energy numbers, same order: -72.38; -130.12 (eV per cell).